VASP calculation (PBE-GGA) on a relaxed structure of CaCoTc.

Unit cell a=5.0885 b=4.0887 c=10.3892 alpha=90.00 beta=90.00 gamma=90.00
Closest atoms and distances in Å follow each position.
Positions (direct):
Ca (0.9160, 0.2500, 0.3752)  2 Co 2.60-2.70
Ca (0.5840, 0.7500, 0.8752)  2 Co 2.60-2.70
Ca (0.0840, 0.7500, 0.6248)  2 Co 2.60-2.70
Ca (0.4160, 0.2500, 0.1248)  2 Co 2.60-2.70
Co (0.4261, 0.2500, 0.4454)  3 Tc 2.39-2.48, 2 Co 2.46, 1 Ca 2.60
Co (0.0739, 0.7500, 0.9454)  3 Tc 2.39-2.48, 2 Co 2.46, 1 Ca 2.60
Co (0.5739, 0.7500, 0.5546)  3 Tc 2.39-2.48, 2 Co 2.46, 1 Ca 2.60
Co (0.9261, 0.2500, 0.0546)  3 Tc 2.39-2.48, 2 Co 2.46, 1 Ca 2.60
Tc (0.0752, 0.2500, 0.8271)  3 Co 2.39-2.48
Tc (0.4248, 0.7500, 0.3271)  3 Co 2.39-2.48
Tc (0.9248, 0.7500, 0.1729)  3 Co 2.39-2.48
Tc (0.5752, 0.2500, 0.6729)  3 Co 2.39-2.48

Calculated values
Calculated formation energy = 0.330 eV/atom
M_tot = 0.03 μB/cell
Total DFT energy (no corrections) = -18.48 eV/f.u.

=====

VASP calculation (PBE-GGA) on a relaxed structure of CaCo2Tc.

Unit cell a=6.9751 b=6.9751 c=5.7094 alpha=52.35 beta=52.35 gamma=90.00
Closest atoms and distances in Å follow each position.
Positions (direct):
Ca (0.5000, 0.5000, 0.0000)  2 Tc 2.88, 8 Co 2.89-3.06
Ca (0.2500, 0.7500, 0.5000)  2 Tc 2.88, 8 Co 2.89-3.06
Co (0.6886, 0.1250, 0.2500)  2 Tc 2.29
Co (0.0614, 0.6250, 0.2500)  2 Tc 2.29
Co (0.3750, 0.3114, 0.7500)  2 Tc 2.29
Co (0.8750, 0.9386, 0.7500)  2 Tc 2.29
Tc (0.0000, 0.0000, 0.0000)  4 Co 2.29
Tc (0.7500, 0.2500, 0.5000)  4 Co 2.29

Calculated values
Calculated formation energy = 0.695 eV/atom
M_tot = 2.05 μB/cell
Total DFT energy (no corrections) = -23.80 eV/f.u.

=====

VASP calculation (PBE-GGA) on a relaxed structure of CaCoTc.

Unit cell a=5.0534 b=7.4342 c=2.9759 alpha=78.47 beta=90.04 gamma=95.68
Closest atoms and distances in Å follow each position.
Positions (direct):
Ca (0.1064, 0.5949, 0.9933)  3 Co 2.86-3.05, 2 Ca 2.98, 5 Tc 3.15-3.20
Ca (0.5745, 0.2896, 0.1462)  6 Co 2.93-2.98, 2 Ca 2.98
Co (0.3882, 0.9554, 0.8132)  4 Tc 2.49, 1 Co 2.68
Co (0.0677, 0.2270, 0.6771)  2 Tc 2.40, 1 Co 2.68
Tc (0.9966, 0.9689, 0.3059)  1 Tc 2.30, 4 Co 2.40-2.49
Tc (0.6304, 0.7549, 0.4137)  1 Tc 2.30, 2 Co 2.49

Calculated values
Calculated formation energy = 0.398 eV/atom
M_tot = 0.00 μB/cell
Total DFT energy (no corrections) = -18.28 eV/f.u.

=====

VASP calculation (PBE-GGA) on a relaxed structure of CaCoTc2.

Unit cell a=4.4204 b=4.4204 c=3.2209 alpha=90.00 beta=90.00 gamma=90.00
Closest atoms and distances in Å follow each position.
Positions (direct):
Ca (0.5000, 0.0000, 0.5000)  8 Tc 2.73
Co (0.0000, 0.5000, 0.5000)  8 Tc 2.73
Tc (0.0000, 0.0000, 0.0000)  4 Co 2.73, 4 Ca 2.73
Tc (0.5000, 0.5000, 0.0000)  4 Ca 2.73, 4 Co 2.73

Calculated values
Calculated formation energy = 0.898 eV/atom
M_tot = 2.57 μB/cell
Total DFT energy (no corrections) = -26.25 eV/f.u.